Density functional theory data (SCAN) for a crystal of BaLi2Y relaxed with PBEsol.

Cell and atoms, written as extended XYZ:
```
4
Lattice="-0.317 3.351 1.226 -2.533 2.159 -1.323 -8.069 -1.708 7.815" Properties=species:S:1:pos:R:3 pbc="T T T"
Y -5.460 1.901 3.858
Ba 0.000 0.000 0.000
Li -2.850 0.891 2.061
Li -8.070 2.910 5.656
```

Values from the calculation:
E above lowest polymorph = 67.9 meV/atom
space group = R-3m, No. 166
density of states at the Fermi level = 3.96 states/eV/f.u.

***

Density functional theory data (SCAN) for a crystal of BaLiY2 relaxed with PBEsol.

Cell and atoms, written as extended XYZ:
```
4
Lattice="3.822 0.000 0.000 0.000 5.753 0.000 0.000 0.000 6.026" Properties=species:S:1:pos:R:3 pbc="T T T"
Li 0.000 2.877 3.013
Y 0.000 0.000 0.000
Y 1.911 2.877 0.000
Ba 1.911 0.000 3.013
```

Values from the calculation:
space group = Pmmm, No. 47
density of states at the Fermi level = 4.88 states/eV/f.u.

***

Density functional theory data (SCAN) for a crystal of Ba3LiY relaxed with PBEsol.

Cell and atoms, written as extended XYZ:
```
5
Lattice="6.164 0.000 0.000 0.000 6.164 0.000 0.000 0.000 6.164" Properties=species:S:1:pos:R:3 pbc="T T T"
Ba 0.000 3.082 0.000
Li 0.000 0.000 0.000
Y 3.082 3.082 3.082
Ba 3.082 0.000 0.000
Ba 0.000 0.000 3.082
```

Values from the calculation:
space group = Pm-3m, No. 221
density of states at the Fermi level = 9.82 states/eV/f.u.

***

Density functional theory data (SCAN) for a crystal of BaLi2Y relaxed with PBEsol.

Cell and atoms, written as extended XYZ:
```
4
Lattice="3.776 0.000 0.000 0.000 5.713 0.016 0.000 -0.038 5.713" Properties=species:S:1:pos:R:3 pbc="T T T"
Li 0.000 2.857 0.008
Ba 1.888 2.838 2.865
Li 0.000 -0.019 2.857
Y 1.888 0.000 0.000
```

Values from the calculation:
E above lowest polymorph = 0.0 meV/atom
space group = Cmmm, No. 65
density of states at the Fermi level = 4.10 states/eV/f.u.

***

Density functional theory data (SCAN) for a crystal of Ba2LiZn relaxed with PBEsol.

Cell and atoms, written as extended XYZ:
```
4
Lattice="4.162 0.000 0.000 0.000 5.791 0.026 0.000 -0.029 5.791" Properties=species:S:1:pos:R:3 pbc="T T T"
Ba 0.000 2.896 0.013
Ba 0.000 -0.014 2.896
Zn 2.081 2.881 2.909
Li 2.081 0.000 0.000
```

Values from the calculation:
space group = P4/mmm, No. 123
density of states at the Fermi level = 4.13 states/eV/f.u.

***

Density functional theory data (SCAN) for a crystal of BaLiZn2 relaxed with PBEsol.

Cell and atoms, written as extended XYZ:
```
4
Lattice="-3.533 3.508 1.574 -1.762 -0.093 4.915 1.374 3.773 3.338" Properties=species:S:1:pos:R:3 pbc="T T T"
Ba -1.960 3.594 4.914
Zn -0.980 1.797 2.457
Li 0.000 0.000 0.000
Zn -2.940 5.390 7.370
```

Values from the calculation:
E above lowest polymorph = 205.2 meV/atom
space group = Fm-3m, No. 225
density of states at the Fermi level = 4.12 states/eV/f.u.

***

Density functional theory data (SCAN) for a crystal of BaLi4Zn relaxed with PBEsol.

Cell and atoms, written as extended XYZ:
```
6
Lattice="5.752 0.000 0.000 2.876 4.981 0.000 2.876 1.660 4.696" Properties=species:S:1:pos:R:3 pbc="T T T"
Li 4.355 2.514 1.778
Li 5.752 3.321 4.059
Zn 8.628 4.981 3.522
Li 7.149 2.514 1.778
Ba 0.000 0.000 0.000
Li 5.752 4.934 1.778
```

Values from the calculation:
space group = F-43m, No. 216
density of states at the Fermi level = 3.23 states/eV/f.u.

***

Density functional theory data (SCAN) for a crystal of BaLiZn2 relaxed with PBEsol.

Cell and atoms, written as extended XYZ:
```
4
Lattice="-2.903 -2.554 2.333 1.289 -1.910 3.884 -2.299 3.115 4.920" Properties=species:S:1:pos:R:3 pbc="T T T"
Zn -0.658 -1.175 2.266
Ba -1.956 -0.674 5.569
Li 0.000 0.000 0.000
Zn -3.255 -0.173 8.871
```

Values from the calculation:
E above lowest polymorph = 7.6 meV/atom
space group = R-3m, No. 166
density of states at the Fermi level = 2.33 states/eV/f.u.

***

Asked for energy of formation from the pure elements across the records above, the calculation gives 0.261 0.266 0.501 0.193 -0.065 -0.008 0.026 -0.205 eV per atom in order.